[1]
VASP calculation (PBE) on MgSc4Ag3 after structural relaxation.

a b c (Å): 3.473 4.894 9.791
angles (deg): 90.00 90.00 90.00
Atoms (fractional coordinates):
Sc (0.000, 0.000, 0.500)
Sc (0.000, 0.500, 0.742)
Sc (0.000, 0.000, 0.000)
Sc (0.000, 0.500, 0.258)
Mg (0.500, 0.500, 0.000)
Ag (0.500, 0.000, 0.242)
Ag (0.500, 0.500, 0.500)
Ag (0.500, 0.000, 0.758)

Size of the total moment = 0.00 μB per cell
Symmetry = Pmmm (47)
Calculated total energy = -37.1 eV for the cell shown
Calculated formation energy = -0.208 eV per atom

[2]
VASP calculation (PBE) on LaZrPaN3 after structural relaxation.

a b c (Å): 3.451 7.155 8.560
angles (deg): 85.29 90.00 90.00
Atoms (fractional coordinates):
La (0.750, 0.897, 0.840)
La (0.250, 0.103, 0.160)
Zr (0.250, 0.174, 0.547)
Zr (0.750, 0.826, 0.453)
Pa (0.250, 0.595, 0.160)
Pa (0.750, 0.405, 0.840)
N (0.250, 0.878, 0.604)
N (0.750, 0.805, 0.178)
N (0.750, 0.392, 0.101)
N (0.750, 0.122, 0.396)
N (0.250, 0.608, 0.899)
N (0.250, 0.195, 0.822)

Size of the total moment = 0.00 μB per cell
Symmetry = P2_1/m (11)
Calculated total energy = -111.3 eV for the cell shown
Formation energy (no corrections) = -1286 meV per atom

[3]
VASP calculation (PBE) on MgPbAu2 after structural relaxation.

a b c (Å): 9.165 9.165 9.165
angles (deg): 21.18 21.18 21.18
Atoms (fractional coordinates):
Au (0.990, 0.990, 0.990)
Au (0.510, 0.510, 0.510)
Mg (0.250, 0.250, 0.250)
Pb (0.750, 0.750, 0.750)

Size of the total moment = 0.00 μB per cell
Symmetry = R-3m (166)
Calculated total energy = -12.7 eV for the cell shown
Calculated formation energy = -0.206 eV per atom

[4]
VASP calculation (PBE) on PmNdAu3 after structural relaxation.

a b c (Å): 8.126 8.126 8.126
angles (deg): 47.25 47.25 47.25
Atoms (fractional coordinates):
Pm (0.387, 0.387, 0.387)
Pm (0.613, 0.613, 0.613)
Nd (0.176, 0.176, 0.176)
Nd (0.824, 0.824, 0.824)
Au (0.095, 0.095, 0.640)
Au (0.640, 0.095, 0.095)
Au (0.095, 0.640, 0.095)
Au (0.905, 0.905, 0.360)
Au (0.905, 0.360, 0.905)
Au (0.360, 0.905, 0.905)

Size of the total moment = 0.00 μB per cell
Symmetry = R-3m (166)
Calculated total energy = -44.9 eV for the cell shown
Calculated formation energy = -0.623 eV per atom
Distance to the lowest polymorph of the same formula = 0.127 eV/atom

[5]
VASP calculation (PBE) on La2NiAg2 after structural relaxation.

a b c (Å): 5.699 5.699 5.699
angles (deg): 117.77 117.77 93.91
Atoms (fractional coordinates):
La (0.750, 0.250, 0.500)
La (0.250, 0.750, 0.500)
Ni (0.000, 0.000, 0.000)
Ag (0.666, 0.666, 0.000)
Ag (0.334, 0.334, 0.000)

Size of the total moment = 0.00 μB per cell
Symmetry = I4/mmm (139)
Calculated total energy = -20.8 eV for the cell shown
Calculated formation energy = 0.100 eV per atom
Distance to the lowest polymorph of the same formula = 0.375 eV/atom

Q: Which DOS at the Fermi energy values were calculated for the entries above? A: 7.084 7.376 1.269 6.422 3.562, in states/eV/cell.